# NaRuPbF2 meta-GGA SCAN single point on PBEsol structure
# - total DFT energy (no corrections) (eV per atom) = -25.198
# - formation energy (no corrections) (eV per atom) = -0.817
# - magnetization (μB/cell) = 0.27
# - ρ (g cm⁻³) = 6.6
data_NaRuPbF2
_space_group_name_H-M_alt 'P 4/m m m'
_space_group_IT_number 123
_space_group_name_Hall '-P 4 2'
_cell_length_a 4.187
_cell_length_b 4.187
_cell_length_c 5.313
_cell_angle_alpha 90.00
_cell_angle_beta 90.00
_cell_angle_gamma 90.00
loop_
_atom_site_label
_atom_site_type_symbol
_atom_site_fract_x
_atom_site_fract_y
_atom_site_fract_z
_atom_site_occupancy
Na1 Na 0.000 0.000 0.000 1
Ru1 Ru 0.500 0.500 0.500 1
Pb1 Pb 0.500 0.500 0.000 1
F1 F 0.000 0.500 0.500 1

***

# LiCo2Ir meta-GGA SCAN single point on PBEsol structure
# - total DFT energy (no corrections) (eV per atom) = -26.678
# - formation energy from the elements (meV/atom) = 347
# - magnetization (μB/cell) = 0.00
# - ρ (g cm⁻³) = 11.4
data_LiCo2Ir
_space_group_name_H-M_alt 'P 4/m m m'
_space_group_IT_number 123
_space_group_name_Hall '-P 4 2'
_cell_length_a 2.613
_cell_length_b 2.613
_cell_length_c 6.746
_cell_angle_alpha 90.00
_cell_angle_beta 90.00
_cell_angle_gamma 90.00
loop_
_atom_site_label
_atom_site_type_symbol
_atom_site_fract_x
_atom_site_fract_y
_atom_site_fract_z
_atom_site_occupancy
Li1 Li 0.000 0.000 0.000 1
Co1 Co 0.500 0.500 0.250 1
Ir1 Ir 0.000 0.000 0.500 1

***

# CaHfAlW2 meta-GGA SCAN single point on PBEsol structure
# - total DFT energy (no corrections) (eV per atom) = -41.841
# - formation energy from the elements (meV/atom) = 2052
# - magnetization (μB/cell) = 0.00
# - ρ (g cm⁻³) = 8.5
data_CaHfAlW2
_space_group_name_H-M_alt 'P 4/m m m'
_space_group_IT_number 123
_space_group_name_Hall '-P 4 2'
_cell_length_a 4.787
_cell_length_b 4.787
_cell_length_c 5.252
_cell_angle_alpha 90.00
_cell_angle_beta 90.00
_cell_angle_gamma 90.00
loop_
_atom_site_label
_atom_site_type_symbol
_atom_site_fract_x
_atom_site_fract_y
_atom_site_fract_z
_atom_site_occupancy
Ca1 Ca 0.000 0.000 0.000 1
Hf1 Hf 0.000 0.000 0.500 1
Al1 Al 0.500 0.500 0.000 1
W1 W 0.000 0.500 0.500 1

***

# NiIrPt2 meta-GGA SCAN single point on PBEsol structure
# - energy above the lowest structure with this stoichiometry (eV per atom) = 0.099
# - total DFT energy (no corrections) (eV per atom) = -56.909
# - formation energy from the elements (meV/atom) = 6
# - magnetization (μB/cell) = 1.32
# - ρ (g cm⁻³) = 19.4
data_NiIrPt2
_space_group_name_H-M_alt 'P m m m'
_space_group_IT_number 47
_space_group_name_Hall '-P 2 2'
_cell_length_a 2.724
_cell_length_b 3.770
_cell_length_c 5.341
_cell_angle_alpha 90.00
_cell_angle_beta 90.00
_cell_angle_gamma 90.00
loop_
_atom_site_label
_atom_site_type_symbol
_atom_site_fract_x
_atom_site_fract_y
_atom_site_fract_z
_atom_site_occupancy
Ni1 Ni 0.000 0.000 0.000 1
Ir1 Ir 0.000 0.000 0.500 1
Pt1 Pt 0.500 0.500 0.246 1